Below is an optimized crystal structure of KRuRh2, with properties calculated at the PBE level.

Unit cell a=5.8732 b=5.8732 c=5.8732 alpha=153.11 beta=127.32 gamma=60.13
Closest atoms and distances in Å follow each position.
Positions (direct):
K 0.0000 0.0000 0.0000  2 K 2.73, 4 Ru 2.94
Ru 0.5000 0.5000 0.0000  4 Rh 2.57, 2 Ru 2.73
Rh 0.2853 0.7853 0.5000  2 Ru 2.57, 2 Rh 2.73
Rh 0.7147 0.2147 0.5000  2 Ru 2.57, 2 Rh 2.73

Computed properties:
The calculation puts the formation energy at 0.8649 eV/atom. For the density of states at the Fermi level, the calculation gives 6.2 states/eV/f.u.